(1)
The following is a DFT calculation (GGA-PBE) of an optimized crystal structure of Mg3Mn5H12.

## Properties
As for the density of states at the Fermi level: 13.9 states/eV per cell. As for the space group: Ia-3d (230). For the calculated total energy, the calculation gives -0.168 hartree per atom. Its volume is 626 Å³/cell.

a b c (Å): 9.3338 9.3338 9.3338
angles (deg): 109.47 109.47 109.47
Sites, in units of the cell vectors:
Mg 0.1250 0.2500 0.3750
Mg 0.1250 0.3750 0.7500
Mg 0.2500 0.3750 0.1250
Mg 0.2500 0.8750 0.6250
Mg 0.3750 0.1250 0.2500
Mg 0.3750 0.7500 0.1250
Mg 0.6250 0.2500 0.8750
Mg 0.6250 0.8750 0.7500
Mg 0.7500 0.1250 0.3750
Mg 0.7500 0.6250 0.8750
Mg 0.8750 0.6250 0.2500
Mg 0.8750 0.7500 0.6250
Mn 0.0000 0.0000 0.0000
Mn 0.0000 0.0000 0.5000
Mn 0.0000 0.5000 0.0000
Mn 0.0000 0.5000 0.5000
Mn 0.1250 0.7500 0.8750
Mn 0.1250 0.8750 0.2500
Mn 0.2500 0.1250 0.8750
Mn 0.2500 0.6250 0.3750
Mn 0.3750 0.2500 0.6250
Mn 0.3750 0.6250 0.7500
Mn 0.5000 0.0000 0.0000
Mn 0.5000 0.0000 0.5000
Mn 0.5000 0.5000 0.0000
Mn 0.5000 0.5000 0.5000
Mn 0.6250 0.3750 0.2500
Mn 0.6250 0.7500 0.3750
Mn 0.7500 0.3750 0.6250
Mn 0.7500 0.8750 0.1250
Mn 0.8750 0.1250 0.7500
Mn 0.8750 0.2500 0.1250
H 0.0387 0.1999 0.1257
H 0.0387 0.3388 0.9130
H 0.0742 0.6999 0.6612
H 0.0742 0.8743 0.4130
H 0.0870 0.6257 0.4258
H 0.0870 0.9613 0.6612
H 0.1257 0.0387 0.1999
H 0.1257 0.5870 0.9258
H 0.1612 0.1999 0.5742
H 0.1612 0.4613 0.5870
H 0.1999 0.1257 0.0387
H 0.1999 0.5742 0.1612
H 0.3001 0.3388 0.9258
H 0.3001 0.4613 0.3743
H 0.3388 0.9130 0.0387
H 0.3388 0.9258 0.3001
H 0.3743 0.3001 0.4613
H 0.3743 0.5742 0.9130
H 0.4130 0.0742 0.8743
H 0.4130 0.8388 0.5387
H 0.4258 0.0870 0.6257
H 0.4258 0.8388 0.8001
H 0.4613 0.3743 0.3001
H 0.4613 0.5870 0.1612
H 0.5387 0.4130 0.8388
H 0.5387 0.6257 0.6999
H 0.5742 0.1612 0.1999
H 0.5742 0.9130 0.3743
H 0.5870 0.1612 0.4613
H 0.5870 0.9258 0.1257
H 0.6257 0.4258 0.0870
H 0.6257 0.6999 0.5387
H 0.6612 0.0742 0.6999
H 0.6612 0.0870 0.9613
H 0.6999 0.5387 0.6257
H 0.6999 0.6612 0.0742
H 0.8001 0.4258 0.8388
H 0.8001 0.8743 0.9613
H 0.8388 0.5387 0.4130
H 0.8388 0.8001 0.4258
H 0.8743 0.4130 0.0742
H 0.8743 0.9613 0.8001
H 0.9130 0.0387 0.3388
H 0.9130 0.3743 0.5742
H 0.9258 0.1257 0.5870
H 0.9258 0.3001 0.3388
H 0.9613 0.6612 0.0870
H 0.9613 0.8001 0.8743



(2)
The following is a DFT calculation (GGA-PBE) of an optimized crystal structure of Ba2HPd.

## Properties
As for the density of states at the Fermi level: 5.6 states/eV per cell. As for the space group: I-42d (122). For the calculated total energy, the calculation gives -0.125 hartree per atom. Its volume is 249 Å³/cell.

a b c (Å): 6.8846 6.8846 6.8846
angles (deg): 112.99 112.99 102.64
Sites, in units of the cell vectors:
Ba 0.0726 0.1250 0.4476
Ba 0.3750 0.9274 0.0524
Ba 0.6774 0.6250 0.5524
Ba 0.8750 0.3226 0.9476
H 0.0000 0.0000 0.0000
H 0.7500 0.2500 0.5000
Pd 0.2500 0.7500 0.5000
Pd 0.5000 0.5000 0.0000



(3)
The following is a DFT calculation (GGA-PBE) of an optimized crystal structure of TaTi2PtC.

## Properties
As for the density of states at the Fermi level: 2.7 states/eV per cell. As for the space group: P4/mmm (123). Its formation energy is -0.67 eV/atom. Its volume is 73 Å³/cell.

a b c (Å): 4.1400 4.1400 4.2709
angles (deg): 90.00 90.00 90.00
Sites, in units of the cell vectors:
Ta 0.0000 0.0000 0.0000
Ti 0.0000 0.5000 0.5000
Ti 0.5000 0.0000 0.5000
Pt 0.5000 0.5000 0.0000
C 0.0000 0.0000 0.5000



(4)
The following is a DFT calculation (GGA-PBE) of an optimized crystal structure of KLa4Sb.

## Properties
As for the density of states at the Fermi level: 9.8 states/eV per cell. As for the space group: F-43m (216). The formation energy from raw total energies is 0.182 eV/atom. Its volume is 216 Å³/cell.

a b c (Å): 6.7389 6.7389 6.7389
angles (deg): 60.00 60.00 60.00
Sites, in units of the cell vectors:
K 0.0000 0.0000 0.0000
La 0.1385 0.6205 0.6205
La 0.6205 0.1385 0.6205
La 0.6205 0.6205 0.1385
La 0.6205 0.6205 0.6205
Sb 0.2500 0.2500 0.2500



(5)
The following is a DFT calculation (GGA-PBE) of an optimized crystal structure of NiSe2SBr.

## Properties
As for the density of states at the Fermi level: 6.2 states/eV per cell. As for the space group: P4/mmm (123). The formation energy from raw total energies is 0.591 eV/atom. Its volume is 105 Å³/cell.

a b c (Å): 4.7272 4.7272 4.7135
angles (deg): 90.00 90.00 90.00
Sites, in units of the cell vectors:
Ni 0.0000 0.0000 0.0000
Se 0.0000 0.5000 0.0000
Se 0.5000 0.0000 0.0000
S 0.5000 0.5000 0.5000
Br 0.0000 0.0000 0.5000



(6)
The following is a DFT calculation (GGA-PBE) of an optimized crystal structure of SmTh5Sb8.

## Properties
As for the density of states at the Fermi level: 7.4 states/eV per cell. As for the space group: I-4 (82). The formation energy from raw total energies is -0.929 eV/atom. Its volume is 420 Å³/cell.

a b c (Å): 8.1725 8.1725 8.1725
angles (deg): 109.55 109.55 109.32
Sites, in units of the cell vectors:
Sm 0.0000 0.0000 0.0000
Th 0.2478 0.1227 0.6255
Th 0.3776 0.7522 0.8749
Th 0.4973 0.6224 0.3745
Th 0.7500 0.2500 0.5000
Th 0.8773 0.5027 0.1251
Sb 0.1228 0.3729 0.4078
Sb 0.1258 0.3780 0.9100
Sb 0.2850 0.8772 0.2501
Sb 0.4680 0.2158 0.0900
Sb 0.6220 0.5320 0.7478
Sb 0.6271 0.0349 0.7499
Sb 0.7842 0.8742 0.2522
Sb 0.9651 0.7150 0.5922



(7)
The following is a DFT calculation (GGA-PBE) of an optimized crystal structure of Zr2In2Mo.

## Properties
As for the density of states at the Fermi level: 8.7 states/eV per cell. As for the space group: P4/mbm (127). Its formation energy is 0.06 eV/atom. Its volume is 214 Å³/cell.

a b c (Å): 7.3897 7.3897 3.9185
angles (deg): 90.00 90.00 90.00
Sites, in units of the cell vectors:
Zr 0.1742 0.3258 0.0000
Zr 0.3258 0.8258 0.0000
Zr 0.6742 0.1742 0.0000
Zr 0.8258 0.6742 0.0000
In 0.1328 0.6328 0.5000
In 0.3672 0.1328 0.5000
In 0.6328 0.8672 0.5000
In 0.8672 0.3672 0.5000
Mo 0.0000 0.0000 0.5000
Mo 0.5000 0.5000 0.5000



(8)
The following is a DFT calculation (GGA-PBE) of an optimized crystal structure of CeDyAu.

## Properties
As for the density of states at the Fermi level: 10.4 states/eV per cell. As for the space group: C2/m (12). Its formation energy is -0.39 eV/atom. Its volume is 153 Å³/cell.

a b c (Å): 5.8509 5.8509 6.7799
angles (deg): 120.35 120.35 53.01
Sites, in units of the cell vectors:
Ce 0.1319 0.1319 0.2300
Ce 0.8681 0.8681 0.7700
Dy 0.4358 0.4358 0.1944
Dy 0.5642 0.5642 0.8056
Au 0.1666 0.1666 0.7038
Au 0.8334 0.8334 0.2962



(9)
The following is a DFT calculation (GGA-PBE) of an optimized crystal structure of MgHW2N.

## Properties
As for the density of states at the Fermi level: 4.4 states/eV per cell. As for the space group: P4/mmm (123). For the calculated total energy, the calculation gives -0.175 hartree per atom. Its volume is 85 Å³/cell.

a b c (Å): 4.8689 4.8689 3.5778
angles (deg): 90.00 90.00 90.00
Sites, in units of the cell vectors:
Mg 0.0000 0.0000 0.0000
H 0.5000 0.5000 0.5000
W 0.0000 0.5000 0.0000
W 0.5000 0.0000 0.0000
N 0.0000 0.0000 0.5000



(10)
The following is a DFT calculation (GGA-PBE) of an optimized crystal structure of ScNbFeNi.

## Properties
As for the density of states at the Fermi level: 4.6 states/eV per cell. As for the space group: F-43m (216). Its formation energy is -0.16 eV/atom. Its volume is 59 Å³/cell.

a b c (Å): 4.3819 4.3819 4.3819
angles (deg): 60.00 60.00 60.00
Sites, in units of the cell vectors:
Sc 0.0000 0.0000 0.0000
Nb 0.5000 0.5000 0.5000
Fe 0.2500 0.2500 0.2500
Ni 0.7500 0.7500 0.7500



(11)
The following is a DFT calculation (GGA-PBE) of an optimized crystal structure of Sr2VAu.

## Properties
As for the density of states at the Fermi level: 3.3 states/eV per cell. As for the space group: Fm-3m (225). Its formation energy is 0.19 eV/atom. Its volume is 119 Å³/cell.

a b c (Å): 5.5219 5.5219 5.5219
angles (deg): 60.00 60.00 60.00
Sites, in units of the cell vectors:
Sr 0.2500 0.2500 0.2500
Sr 0.7500 0.7500 0.7500
V 0.0000 0.0000 0.0000
Au 0.5000 0.5000 0.5000



(12)
The following is a DFT calculation (GGA-PBE) of an optimized crystal structure of Pm8Sm4Cd.

## Properties
As for the density of states at the Fermi level: 21.4 states/eV per cell. As for the space group: R-3m (166). Its formation energy is 0.49 eV/atom. Its volume is 482 Å³/cell.

a b c (Å): 7.8419 7.8419 7.8419
angles (deg): 90.42 90.42 90.42
Sites, in units of the cell vectors:
Pm 0.2443 0.2443 0.2443
Pm 0.2443 0.2443 0.7501
Pm 0.2443 0.7501 0.2443
Pm 0.2499 0.7557 0.7557
Pm 0.7501 0.2443 0.2443
Pm 0.7557 0.2499 0.7557
Pm 0.7557 0.7557 0.2499
Pm 0.7557 0.7557 0.7557
Sm 0.0000 0.0000 0.0000
Sm 0.0000 0.5000 0.5000
Sm 0.5000 0.0000 0.5000
Sm 0.5000 0.5000 0.0000
Cd 0.5000 0.5000 0.5000



(13)
The following is a DFT calculation (GGA-PBE) of an optimized crystal structure of BaAgH2F8.

## Properties
As for the density of states at the Fermi level: 2.8 states/eV per cell. As for the space group: P-1 (2). For the calculated total energy, the calculation gives -0.148 hartree per atom. Its volume is 171 Å³/cell.

a b c (Å): 4.5530 4.5959 8.9024
angles (deg): 81.37 89.36 68.41
Sites, in units of the cell vectors:
Ba 0.0000 0.0000 0.0000
Ag 0.0000 0.0000 0.5000
H 0.4774 0.4865 0.7156
H 0.5226 0.5135 0.2844
F 0.1966 0.7719 0.7053
F 0.2531 0.2576 0.4959
F 0.3370 0.7158 0.2699
F 0.3490 0.3495 0.0170
F 0.6510 0.6505 0.9830
F 0.6630 0.2842 0.7301
F 0.7469 0.7424 0.5041
F 0.8034 0.2281 0.2947



(14)
The following is a DFT calculation (GGA-PBE) of an optimized crystal structure of BaCa6Ac.

## Properties
As for the density of states at the Fermi level: 9.8 states/eV per cell. As for the space group: C2/m (12). Its formation energy is 0.04 eV/atom. Its volume is 353 Å³/cell.

a b c (Å): 13.0681 13.0681 6.7770
angles (deg): 92.43 92.43 17.77
Sites, in units of the cell vectors:
Ba 0.0000 0.0000 0.0000
Ca 0.1276 0.1276 0.3811
Ca 0.2511 0.2511 0.7496
Ca 0.3699 0.3699 0.1251
Ca 0.6301 0.6301 0.8749
Ca 0.7489 0.7489 0.2504
Ca 0.8724 0.8724 0.6189
Ac 0.5000 0.5000 0.5000



(15)
The following is a DFT calculation (GGA-PBE) of an optimized crystal structure of Zr3Ti.

## Properties
As for the density of states at the Fermi level: 6.3 states/eV per cell. As for the space group: Pm-3m (221). Its formation energy is 0.07 eV/atom. Its volume is 87 Å³/cell.

a b c (Å): 4.4294 4.4294 4.4294
angles (deg): 90.00 90.00 90.00
Sites, in units of the cell vectors:
Zr 0.0000 0.0000 0.5000
Zr 0.0000 0.5000 0.0000
Zr 0.5000 0.0000 0.0000
Ti 0.5000 0.5000 0.5000



(16)
The following is a DFT calculation (GGA-PBE) of an optimized crystal structure of Pm3NdDy6Er2.

## Properties
As for the density of states at the Fermi level: 15.3 states/eV per cell. As for the space group: C2/m (12). Its formation energy is 0.02 eV/atom. Its volume is 387 Å³/cell.

a b c (Å): 6.1896 6.1896 11.8361
angles (deg): 94.99 94.99 119.96
Sites, in units of the cell vectors:
Pm 0.0000 0.0000 0.0000
Pm 0.3332 0.6668 0.0000
Pm 0.6668 0.3332 0.0000
Nd 0.5000 0.5000 0.5000
Dy 0.0828 0.4169 0.2521
Dy 0.2488 0.2488 0.7479
Dy 0.4169 0.0828 0.2521
Dy 0.5831 0.9172 0.7479
Dy 0.7512 0.7512 0.2521
Dy 0.9172 0.5831 0.7479
Er 0.1668 0.8332 0.5000
Er 0.8332 0.1668 0.5000



(17)
The following is a DFT calculation (GGA-PBE) of an optimized crystal structure of SrFe2Br.

## Properties
As for the density of states at the Fermi level: 2.1 states/eV per cell. As for the space group: Imm2 (44). The formation energy from raw total energies is 0.325 eV/atom. Its volume is 92 Å³/cell.

a b c (Å): 5.5993 5.5993 5.5993
angles (deg): 142.56 118.15 74.59
Sites, in units of the cell vectors:
Sr 0.0000 0.0000 0.0000
Fe 0.5211 0.5211 0.0000
Fe 0.6833 0.1833 0.5000
Br 0.3073 0.8073 0.5000



(18)
The following is a DFT calculation (GGA-PBE) of an optimized crystal structure of NdYCo2.

## Properties
As for the density of states at the Fermi level: 1.6 states/eV per cell. As for the space group: P4/mmm (123). Its formation energy is -0.02 eV/atom. Its volume is 80 Å³/cell.

a b c (Å): 4.8223 4.8223 3.4189
angles (deg): 90.00 90.00 90.00
Sites, in units of the cell vectors:
Nd 0.0000 0.0000 0.0000
Y 0.5000 0.5000 0.0000
Co 0.0000 0.5000 0.5000
Co 0.5000 0.0000 0.5000



(19)
The following is a DFT calculation (GGA-PBE) of an optimized crystal structure of TlGaSn2Rh.

## Properties
As for the density of states at the Fermi level: 3.7 states/eV per cell. As for the space group: P4/mmm (123). Its formation energy is -0.09 eV/atom. Its volume is 131 Å³/cell.

a b c (Å): 5.2251 5.2251 4.8055
angles (deg): 90.00 90.00 90.00
Sites, in units of the cell vectors:
Tl 0.0000 0.0000 0.0000
Ga 0.5000 0.5000 0.0000
Sn 0.0000 0.5000 0.5000
Sn 0.5000 0.0000 0.5000
Rh 0.5000 0.5000 0.5000



(20)
The following is a DFT calculation (GGA-PBE) of an optimized crystal structure of Nd11Ho4Sc9.

## Properties
As for the density of states at the Fermi level: 32.9 states/eV per cell. As for the space group: Cmmm (65). Its formation energy is 0.11 eV/atom. Its volume is 735 Å³/cell.

a b c (Å): 14.9273 14.9273 3.5900
angles (deg): 90.00 90.00 113.31
Sites, in units of the cell vectors:
Nd 0.0000 0.0000 0.0000
Nd 0.0373 0.4008 0.0000
Nd 0.1607 0.8393 0.0000
Nd 0.2852 0.2852 0.0000
Nd 0.3666 0.6334 0.0000
Nd 0.4008 0.0373 0.0000
Nd 0.5992 0.9627 0.0000
Nd 0.6334 0.3666 0.0000
Nd 0.7148 0.7148 0.0000
Nd 0.8393 0.1607 0.0000
Nd 0.9627 0.5992 0.0000
Ho 0.2397 0.4430 0.5000
Ho 0.4430 0.2397 0.5000
Ho 0.5570 0.7603 0.5000
Ho 0.7603 0.5570 0.5000
Sc 0.0658 0.2125 0.5000
Sc 0.1690 0.6318 0.5000
Sc 0.2125 0.0658 0.5000
Sc 0.3682 0.8310 0.5000
Sc 0.5000 0.5000 0.5000
Sc 0.6318 0.1690 0.5000
Sc 0.7875 0.9342 0.5000
Sc 0.8310 0.3682 0.5000
Sc 0.9342 0.7875 0.5000